Density functional theory data (PBE-GGA) for a geometry-optimized TmMg4Pt5 structure. Values from VASP.

Quantum ESPRESSO input file:
```
&SYSTEM
  ibrav = 0, nat = 10, ntyp = 3
/
ATOMIC_SPECIES
Mg 24.30 Mg.upf
Pt 195.08 Pt.upf
Tm 168.93 Tm.upf
CELL_PARAMETERS angstrom
-1.7874 2.8274 -0.1038
-1.6081 -1.1162 -2.7143
-10.5133 -6.3223 8.8287
ATOMIC_POSITIONS angstrom
Mg -8.2910 -4.9859 6.9625
Mg -4.2453 -2.5530 3.5651
Mg -6.2680 -3.7693 5.2636
Mg -2.2223 -1.3364 1.8662
Pt -2.8572 0.1583 -0.4354
Pt -6.9544 -2.3056 3.0053
Pt -11.0517 -4.7695 6.4460
Pt -9.0011 -3.5364 4.7241
Pt -4.9077 -1.0748 1.2865
Tm 0.0000 0.0000 0.0000
```

Calculated values
* theoretical density: 12.18 g/cm3
* energy: -5.0427 eV/atom
* crystal system: tetragonal

***

Density functional theory data (PBE-GGA) for a geometry-optimized Ce2NdAl structure. Values from VASP.

Quantum ESPRESSO input file:
```
&SYSTEM
  ibrav = 0, nat = 4, ntyp = 3
/
ATOMIC_SPECIES
Nd 144.24 Nd.upf
Ce 140.12 Ce.upf
Al 26.98 Al.upf
CELL_PARAMETERS angstrom
4.9568 0.0000 0.0000
0.0000 4.6595 0.0000
0.0000 0.0000 4.6595
ATOMIC_POSITIONS angstrom
Nd 2.4784 2.3298 2.3298
Ce 0.0000 2.3298 0.0000
Ce 0.0000 0.0000 2.3298
Al 2.4784 0.0000 0.0000
```

Calculated values
* theoretical density: 6.97 g/cm3
* energy: -5.2242 eV/atom
* crystal system: tetragonal
* energy above the most stable polymorph in this dataset: 0.0 meV/atom

***

Density functional theory data (PBE-GGA) for a geometry-optimized Fe2RuPt8 structure. Values from VASP.

Quantum ESPRESSO input file:
```
&SYSTEM
  ibrav = 0, nat = 11, ntyp = 3
/
ATOMIC_SPECIES
Pt 195.08 Pt.upf
Ru 101.07 Ru.upf
Fe 55.84 Fe.upf
CELL_PARAMETERS angstrom
3.7652 0.0000 -1.0823
-0.6097 5.8285 -2.1211
0.0567 0.5230 7.2873
ATOMIC_POSITIONS angstrom
Pt 2.7843 5.0672 2.5958
Pt 3.4737 2.0519 4.9941
Pt -0.2617 4.2996 -0.9103
Pt 0.4278 1.2844 1.4880
Pt 1.2259 3.6122 4.2645
Pt 1.9862 2.7394 -0.1807
Pt 2.0304 5.5124 -0.0268
Pt 1.1817 0.8391 4.1106
Ru 1.8826 0.0000 -0.5412
Fe 0.4808 3.9779 1.6727
Fe 2.7312 2.3737 2.4111
```

Calculated values
* theoretical density: 17.87 g/cm3
* energy: -6.8925 eV/atom
* crystal system: monoclinic

***

Density functional theory data (PBE-GGA) for a geometry-optimized PrSm5Cd3 structure. Values from VASP.

Quantum ESPRESSO input file:
```
&SYSTEM
  ibrav = 0, nat = 18, ntyp = 3
/
ATOMIC_SPECIES
Cd 112.41 Cd.upf
Sm 150.36 Sm.upf
Pr 140.91 Pr.upf
CELL_PARAMETERS angstrom
7.0816 0.0000 0.0000
0.0000 9.4005 0.0000
0.0000 -4.7002 8.1409
ATOMIC_POSITIONS angstrom
Cd 5.3112 -3.1151 5.3955
Cd 5.3112 1.5852 2.7454
Cd 1.7704 7.8153 2.7454
Cd 1.7704 3.1151 5.3955
Cd 5.3112 6.2300 0.0000
Cd 1.7704 3.1705 0.0000
Sm 1.7704 6.2795 0.0000
Sm 5.3112 3.1210 0.0000
Sm 5.3112 3.1398 5.4379
Sm 3.5408 0.0000 5.4268
Sm 0.0000 0.0000 5.4268
Sm 0.0000 4.7002 2.7141
Sm 1.7704 1.5605 2.7030
Sm 5.3112 -1.5605 2.7030
Sm 1.7704 6.2607 5.4379
Sm 3.5408 4.7002 2.7141
Pr 0.0000 0.0000 0.0000
Pr 3.5408 0.0000 0.0000
```

Calculated values
* theoretical density: 7.54 g/cm3
* energy: -3.6235 eV/atom
* crystal system: hexagonal

***

Density functional theory data (PBE-GGA) for a geometry-optimized GaCuGe structure. Values from VASP.

Quantum ESPRESSO input file:
```
&SYSTEM
  ibrav = 0, nat = 12, ntyp = 3
/
ATOMIC_SPECIES
Ga 69.72 Ga.upf
Cu 63.55 Cu.upf
Ge 72.64 Ge.upf
CELL_PARAMETERS angstrom
6.8712 0.0000 0.0000
0.0000 6.1285 0.0000
0.0000 0.0000 4.8059
ATOMIC_POSITIONS angstrom
Ga 3.4356 0.0000 2.4029
Ga 0.0000 0.0000 0.0000
Ga 0.0000 3.0643 0.0000
Ga 3.4356 3.0643 2.4029
Cu 1.9932 4.5964 0.0003
Cu 4.8780 1.5321 4.8056
Cu 5.4288 4.5964 2.4027
Cu 1.4424 1.5321 2.4032
Ge 4.4313 4.5964 4.8056
Ge 0.9957 4.5964 2.4032
Ge 2.4399 1.5321 0.0003
Ge 5.8755 1.5321 2.4027
```

Calculated values
* theoretical density: 6.76 g/cm3
* energy: -3.7199 eV/atom
* crystal system: orthorhombic

***

Density functional theory data (PBE-GGA) for a geometry-optimized YHg3O structure. Values from VASP.

Quantum ESPRESSO input file:
```
&SYSTEM
  ibrav = 0, nat = 5, ntyp = 3
/
ATOMIC_SPECIES
Hg 200.59 Hg.upf
Y 88.91 Y.upf
O 16.00 O.upf
CELL_PARAMETERS angstrom
-3.5563 -0.8034 -4.7055
2.9064 -5.0192 -1.3396
-3.7868 -3.0978 3.3909
ATOMIC_POSITIONS angstrom
Hg 1.4532 -2.5096 -0.6698
Hg -1.8934 -1.5489 1.6955
Hg -1.7781 -0.4017 -2.3527
Y 0.0000 0.0000 0.0000
O -2.2183 -4.4602 -1.3271
```

Calculated values
* theoretical density: 5.56 g/cm3
* energy: -1.6884 eV/atom
* crystal system: cubic
* energy above the most stable polymorph in this dataset: 684.6 meV/atom

***

Density functional theory data (PBE-GGA) for a geometry-optimized Tb6TlAg3 structure. Values from VASP.

Quantum ESPRESSO input file:
```
&SYSTEM
  ibrav = 0, nat = 20, ntyp = 3
/
ATOMIC_SPECIES
Ag 107.87 Ag.upf
Tb 158.93 Tb.upf
Tl 204.38 Tl.upf
CELL_PARAMETERS angstrom
-0.3972 1.7075 -4.6871
9.1248 -1.6962 -1.3912
-5.6676 -10.1167 -3.2051
ATOMIC_POSITIONS angstrom
Ag -1.1443 -7.5979 -4.0066
Ag 1.6184 0.6108 -3.9217
Ag 4.2043 -2.5076 -5.2768
Ag 1.4415 -10.7162 -5.3617
Ag 0.2761 -5.9027 -6.1808
Ag 2.7839 -4.2027 -3.1026
Tb -0.9272 -8.5343 -7.0375
Tb 3.9871 -1.5711 -2.2459
Tb 1.7065 -7.9379 -4.3720
Tb -0.1574 -4.9606 -3.1295
Tb 3.2174 -5.1448 -6.1539
Tb 6.7648 -1.2568 -5.0382
Tb 5.8006 -4.6178 -3.5095
Tb 0.0243 -1.3638 -1.8346
Tb 1.3534 -2.1675 -4.9114
Tb -2.7406 -5.4877 -5.7739
Tb -3.7049 -8.8487 -4.2452
Tb 3.0356 -8.7416 -7.4488
Tl -1.7349 -2.5123 -4.7752
Tl 4.7948 -7.5931 -4.5081
```

Calculated values
* theoretical density: 9.04 g/cm3
* energy: -4.0812 eV/atom
* crystal system: monoclinic

***

Density functional theory data (PBE-GGA) for a geometry-optimized La2BOsPb structure. Values from VASP.

Quantum ESPRESSO input file:
```
&SYSTEM
  ibrav = 0, nat = 5, ntyp = 4
/
ATOMIC_SPECIES
La 138.91 La.upf
B 10.81 B.upf
Pb 207.20 Pb.upf
Os 190.23 Os.upf
CELL_PARAMETERS angstrom
-3.7253 3.2257 1.7373
-2.3188 -0.6395 -3.7850
-2.4747 -4.0424 2.1991
ATOMIC_POSITIONS angstrom
La -1.8627 1.6128 0.8687
La -1.2374 -2.0212 1.0995
B 0.0000 0.0000 0.0000
Pb -1.1594 -0.3197 -1.8925
Os -4.2594 -0.7281 0.0757
```

Calculated values
* theoretical density: 9.30 g/cm3
* energy: -5.7272 eV/atom
* crystal system: tetragonal

***

Density functional theory data (PBE-GGA) for a geometry-optimized La2Sc2C structure. Values from VASP.

Quantum ESPRESSO input file:
```
&SYSTEM
  ibrav = 0, nat = 5, ntyp = 3
/
ATOMIC_SPECIES
C 12.01 C.upf
La 138.91 La.upf
Sc 44.96 Sc.upf
CELL_PARAMETERS angstrom
3.8435 0.0000 0.0000
0.0000 3.8435 0.0000
1.9217 1.9217 8.6697
ATOMIC_POSITIONS angstrom
C 0.0000 0.0000 0.0000
La 3.8435 1.9217 4.3348
La 1.9217 3.8435 4.3348
Sc 1.9217 1.9217 1.2529
Sc 3.8435 3.8435 7.4168
```

Calculated values
* theoretical density: 4.92 g/cm3
* energy: -4.9471 eV/atom
* crystal system: tetragonal
* energy above the most stable polymorph in this dataset: 1133.0 meV/atom